! NaInF2 GGA-PBE relaxed; values from VASP
! Space-group type = No. 122
! E_form (uncorrected) = -2.090 eV per atom
! Energy above the most stable polymorph in this dataset = 51 meV per atom
! DFT total energy = -32.323 eV for the cell shown
&SYSTEM
  ibrav = 0, nat = 8, ntyp = 3
/
ATOMIC_SPECIES
F 19.00 F.upf
Na 22.99 Na.upf
In 114.82 In.upf
CELL_PARAMETERS angstrom
-3.6413 4.2899 -0.4268
-1.4108 -1.7136 -5.1882
-6.3754 -1.7743 -0.7493
ATOMIC_POSITIONS angstrom
F -3.8643 1.8094 -1.0813
F -9.1316 1.0091 -5.2162
F -3.1124 -0.7643 -3.5046
F -6.7464 -0.4501 -2.9265
Na -2.5260 1.2882 -2.8075
Na -5.1561 -1.0999 -4.3725
In -6.2713 1.9019 -1.9918
In 0.0000 0.0000 0.0000